{
  "formula": "Gd2ScN",
  "functional": "PBE",
  "state": "relaxed",
  "cell": [[-1.8892, 2.2661, -1.7739], [-1.7035, -1.0097, -2.8159], [-8.4744, -1.6273, 3.6060]],
  "species": ["Sc", "Gd", "Gd", "N"],
  "frac_coords": [[0.0000, 0.0000, 0.0000], [0.1168, 0.1168, 0.6497], [0.8832, 0.8832, 0.3503], [0.5000, 0.5000, 0.5000]],
  "formation_energy_uncorrected_kj_per_mol_atoms": -57.1
}

---

{
  "formula": "GdSc2N",
  "functional": "PBE",
  "state": "relaxed",
  "cell": [[-2.8073, -0.8768, -0.4748], [0.6026, -0.3617, -2.8950], [2.2468, -7.9876, 1.4657]],
  "species": ["Sc", "Sc", "Gd", "N"],
  "frac_coords": [[0.0000, 0.0000, 0.8491], [0.0000, 0.0000, 0.1509], [0.5000, 0.5000, 0.5000], [0.5000, 0.5000, 0.0000]],
  "formation_energy_uncorrected_kj_per_mol_atoms": -27.7
}

---

{
  "formula": "Gd3Se3N",
  "functional": "PBE",
  "state": "relaxed",
  "cell": [[-3.5549, 1.4594, 1.1629], [-3.8666, 0.2207, -12.0966], [-4.6553, -12.3459, 1.2628]],
  "species": ["Gd", "Gd", "Gd", "Gd", "Gd", "Gd", "Gd", "Gd", "Gd", "Gd", "Gd", "Gd", "Se", "Se", "Se", "Se", "Se", "Se", "Se", "Se", "Se", "Se", "Se", "Se", "N", "N", "N", "N"],
  "frac_coords": [[0.2500, 0.0643, 0.3676], [0.2500, 0.5643, 0.1324], [0.7500, 0.9357, 0.6324], [0.7500, 0.4357, 0.8676], [0.2500, 0.7046, 0.3589], [0.2500, 0.2046, 0.1411], [0.7500, 0.2954, 0.6411], [0.7500, 0.7954, 0.8589], [0.2500, 0.5425, 0.6513], [0.2500, 0.0425, 0.8487], [0.7500, 0.4575, 0.3487], [0.7500, 0.9575, 0.1513], [0.2500, 0.8704, 0.9950], [0.2500, 0.3704, 0.5050], [0.7500, 0.1296, 0.0050], [0.7500, 0.6296, 0.4950], [0.2500, 0.0961, 0.6047], [0.2500, 0.5961, 0.8953], [0.7500, 0.9039, 0.3953], [0.7500, 0.4039, 0.1047], [0.2500, 0.7766, 0.6880], [0.2500, 0.2766, 0.8120], [0.7500, 0.2234, 0.3120], [0.7500, 0.7234, 0.1880], [0.2500, 0.0379, 0.2034], [0.2500, 0.5379, 0.2966], [0.7500, 0.9621, 0.7966], [0.7500, 0.4621, 0.7034]],
  "formation_energy_uncorrected_kj_per_mol_atoms": -178.7
}

---

{
  "formula": "Sm2GdN",
  "functional": "PBE",
  "state": "relaxed",
  "cell": [[-0.3309, -2.9281, 1.3100], [2.8501, 0.3360, 1.4709], [-4.1488, 3.6885, 7.1963]],
  "species": ["Gd", "Sm", "Sm", "N"],
  "frac_coords": [[0.5000, 0.5000, 0.5000], [0.0000, 0.0000, 0.8411], [0.0000, 0.0000, 0.1589], [0.5000, 0.5000, 0.0000]],
  "formation_energy_uncorrected_kj_per_mol_atoms": -14.8
}

---

{
  "formula": "SmGdN",
  "functional": "PBE",
  "state": "relaxed",
  "cell": [[-1.6522, 3.9920, -0.1770], [-3.5712, 0.9631, 2.2396], [0.2455, 2.5963, 3.4491]],
  "species": ["Gd", "Sm", "N"],
  "frac_coords": [[0.0000, 0.0000, 0.0000], [0.5000, 0.5000, 0.5000], [0.2500, 0.2500, 0.2500]],
  "formation_energy_uncorrected_kj_per_mol_atoms": -33.5
}

---

{
  "formula": "SmGd3N",
  "functional": "PBE",
  "state": "relaxed",
  "cell": [[5.0269, 0.0000, 0.0000], [0.0000, 5.0269, 0.0000], [0.0000, 0.0000, 5.0269]],
  "species": ["Gd", "Gd", "Gd", "Sm", "N"],
  "frac_coords": [[0.0000, 0.5000, 0.0000], [0.0000, 0.0000, 0.5000], [0.5000, 0.0000, 0.0000], [0.5000, 0.5000, 0.5000], [0.0000, 0.0000, 0.0000]],
  "formation_energy_uncorrected_kj_per_mol_atoms": -47.8
}